Here is crystalline La2GdY at its relaxed geometry from Alexandria via LeMat-Bulk. Energies are from PBE.

## Properties
- symmetry = P4/mmm
- formation energy from the elements (eV/atom) = 0.0168
- N(E_F) (states/eV/f.u.) = 6.1
- crystal system = tetragonal
- calculated density (Mg/m³) = 6.3
- offset from the most stable computed form (kJ/mol of formula units) = 0.3
- total moment (μB per cell) = 7.4

a b c (Å): 5.0871 5.2270 5.2270
angles (deg): 90.00 90.00 90.00
Site moments in Bohr magnetons follow the coordinates.
Fractional coordinates of all 4 atoms:
Y  0.5000  0.0000  0.0000  -0.01
La  0.0000  0.5000  0.0000  -0.01
La  0.0000  0.0000  0.5000  -0.01
Gd  0.5000  0.5000  0.5000  7.18


Here is crystalline LaGd4Y at its relaxed geometry from Alexandria via LeMat-Bulk. Energies are from PBE.

## Properties
- symmetry = F-43m
- formation energy from the elements (eV/atom) = 0.2350
- N(E_F) (states/eV/f.u.) = 13.3
- crystal system = cubic
- calculated density (Mg/m³) = 6.9
- total moment (μB per cell) = 28.7

a b c (Å): 6.6470 6.6470 6.6470
angles (deg): 60.00 60.00 60.00
Site moments in Bohr magnetons follow the coordinates.
Fractional coordinates of all 6 atoms:
Gd  0.6255  0.1236  0.6255  7.15
Gd  0.6255  0.6255  0.1236  7.15
Gd  0.1236  0.6255  0.6255  7.15
Gd  0.6255  0.6255  0.6255  7.15
Y  0.0000  0.0000  0.0000  -0.20
La  0.2500  0.2500  0.2500  -0.07


Here is crystalline La2GdY at its relaxed geometry from Alexandria via LeMat-Bulk. Energies are from PBE.

## Properties
- symmetry = P4/mmm
- formation energy from the elements (eV/atom) = 0.0161
- N(E_F) (states/eV/f.u.) = 6.5
- crystal system = tetragonal
- calculated density (Mg/m³) = 6.2
- offset from the most stable computed form (kJ/mol of formula units) = 0.0
- total moment (μB per cell) = 7.4

a b c (Å): 3.6922 3.6922 10.2215
angles (deg): 90.00 90.00 90.00
Site moments in Bohr magnetons follow the coordinates.
Fractional coordinates of all 4 atoms:
La  0.0000  0.0000  0.7510  0.00
La  0.0000  0.0000  0.2490  0.00
Y  0.5000  0.5000  0.0000  -0.10
Gd  0.5000  0.5000  0.5000  7.26


Here is crystalline LaGdZn4 at its relaxed geometry from Alexandria via LeMat-Bulk. Energies are from PBE.

## Properties
- symmetry = F-43m
- formation energy from the elements (eV/atom) = -0.3307
- N(E_F) (states/eV/f.u.) = 2.1
- crystal system = cubic
- calculated density (Mg/m³) = 7.5
- total moment (μB per cell) = 7.1

a b c (Å): 5.5800 5.5800 5.5800
angles (deg): 60.00 60.00 60.00
Site moments in Bohr magnetons follow the coordinates.
Fractional coordinates of all 6 atoms:
Zn  0.1238  0.6254  0.6254  -0.01
Zn  0.6254  0.1238  0.6254  -0.01
Zn  0.6254  0.6254  0.6254  -0.01
Zn  0.6254  0.6254  0.1238  -0.01
Gd  0.0000  0.0000  0.0000  7.04
La  0.2500  0.2500  0.2500  -0.01


> The highest formation energy from the elements belongs to which entry?

LaGd4Y


Repeat the second record exactly.
Here is crystalline LaGd4Y at its relaxed geometry from Alexandria via LeMat-Bulk. Energies are from PBE.

## Properties
- symmetry = F-43m
- formation energy from the elements (eV/atom) = 0.2350
- N(E_F) (states/eV/f.u.) = 13.3
- crystal system = cubic
- calculated density (Mg/m³) = 6.9
- total moment (μB per cell) = 28.7

a b c (Å): 6.6470 6.6470 6.6470
angles (deg): 60.00 60.00 60.00
Site moments in Bohr magnetons follow the coordinates.
Fractional coordinates of all 6 atoms:
Gd  0.6255  0.1236  0.6255  7.15
Gd  0.6255  0.6255  0.1236  7.15
Gd  0.1236  0.6255  0.6255  7.15
Gd  0.6255  0.6255  0.6255  7.15
Y  0.0000  0.0000  0.0000  -0.20
La  0.2500  0.2500  0.2500  -0.07


> Look up the total moment of the third one.

7.4 μB per cell


> The lowest N(E_F) belongs to which entry?

LaGdZn4